{
  "formula": "YTiC",
  "functional": "PBE",
  "state": "optimized geometry",
  "lattice": [[8.7019, 0.0000, 0.0000], [0.0000, 7.0541, 0.0000], [0.0000, 0.0000, 3.3807]],
  "species": ["Y", "Ti", "Ti", "Y", "C", "Ti", "Ti", "Y", "Y", "C", "C", "C"],
  "frac_coords": [[0.7956, 0.5000, 0.5000], [0.5000, 0.6996, 0.0000], [0.5000, 0.3004, 0.0000], [0.7044, 0.0000, 0.5000], [0.5000, 0.0000, 0.0000], [0.0000, 0.8004, 0.0000], [0.0000, 0.1996, 0.0000], [0.2956, 0.0000, 0.5000], [0.2044, 0.5000, 0.5000], [0.5000, 0.5000, 0.5000], [0.0000, 0.5000, 0.0000], [0.0000, 0.0000, 0.5000]],
  "density_g_cm3": 4.76,
  "n_ef_per_ev_atom": 1.116,
  "sg": "Cmmm, No. 65",
  "e_form_ev_per_atom": -0.310,
  "magmom_total_mub_per_fu": 0.5,
  "dft_energy_ev_per_atom": -8.171
}



{
  "formula": "YTiC3",
  "functional": "PBE",
  "state": "optimized geometry",
  "lattice": [[4.2954, 0.0000, 0.0000], [0.0000, 4.2954, 0.0000], [0.0000, 0.0000, 4.2954]],
  "species": ["Ti", "C", "C", "C", "Y"],
  "frac_coords": [[0.5000, 0.5000, 0.5000], [0.0000, 0.5000, 0.0000], [0.5000, 0.0000, 0.0000], [0.0000, 0.0000, 0.5000], [0.0000, 0.0000, 0.0000]],
  "density_g_cm3": 3.62,
  "n_ef_per_ev_atom": 0.839,
  "sg": "Pm-3m, No. 221",
  "e_form_ev_per_atom": 2.408,
  "magmom_total_mub_per_fu": 0.4,
  "dft_energy_ev_per_atom": -5.998
}



{
  "formula": "YTiC2",
  "functional": "PBE",
  "state": "optimized geometry",
  "lattice": [[3.3062, 0.0000, 0.0000], [1.6531, 2.8633, 0.0000], [1.6531, 0.9544, 5.4949]],
  "species": ["C", "C", "Y", "Ti"],
  "frac_coords": [[0.7370, 0.7370, 0.7889], [0.2630, 0.2630, 0.2111], [0.5000, 0.5000, 0.5000], [0.0000, 0.0000, 0.0000]],
  "density_g_cm3": 5.13,
  "n_ef_per_ev_atom": 0.607,
  "sg": "R-3m, No. 166",
  "e_form_ev_per_atom": -0.270,
  "magmom_total_mub_per_fu": 0.0,
  "dft_energy_ev_per_atom": -8.471
}



{
  "formula": "YTiC2",
  "functional": "PBE",
  "state": "optimized geometry",
  "lattice": [[5.0687, 0.0000, 0.0000], [0.0000, 5.0687, 0.0000], [2.5344, 2.5344, 5.1006]],
  "species": ["Y", "Y", "C", "Ti", "Ti", "C", "C", "C"],
  "frac_coords": [[0.7500, 0.2500, 0.5000], [0.0000, 0.0000, 0.0000], [0.5663, 0.1250, 0.2500], [0.2500, 0.7500, 0.5000], [0.5000, 0.5000, 0.0000], [0.1837, 0.6250, 0.2500], [0.3750, 0.4337, 0.7500], [0.8750, 0.8163, 0.7500]],
  "density_g_cm3": 4.08,
  "n_ef_per_ev_atom": 0.531,
  "sg": "I-42d, No. 122",
  "e_form_ev_per_atom": 0.117,
  "magmom_total_mub_per_fu": 0.0,
  "dft_energy_ev_per_atom": -8.085
}



{
  "formula": "YTiC",
  "functional": "PBE",
  "state": "optimized geometry",
  "lattice": [[5.5560, 0.0000, 0.0000], [0.0000, 3.3283, 0.0000], [0.0000, -1.6642, 2.8824]],
  "species": ["C", "Y", "Ti"],
  "frac_coords": [[0.0415, 0.0000, 0.0000], [0.7534, 0.6667, 0.3333], [0.2050, 0.3333, 0.6667]],
  "density_g_cm3": 4.64,
  "n_ef_per_ev_atom": 1.289,
  "sg": "P3m1, No. 156",
  "e_form_ev_per_atom": -0.282,
  "magmom_total_mub_per_fu": 0.0,
  "dft_energy_ev_per_atom": -8.143
}



{
  "formula": "YTiC",
  "functional": "PBE",
  "state": "optimized geometry",
  "lattice": [[-4.7331, -3.0956, 1.7147], [0.1888, -1.7777, -2.6880], [7.2784, -6.3701, 4.7241]],
  "species": ["Y", "C", "Y", "Ti", "Ti", "C", "Ti", "C", "Y", "Y", "C", "Ti"],
  "frac_coords": [[0.9921, 0.5000, 0.6626], [0.8291, 0.0000, 0.7973], [0.9921, 0.0000, 0.1626], [0.5426, 0.0000, 0.6577], [0.5426, 0.5000, 0.1577], [0.6093, 0.0000, 0.0418], [0.7225, 0.0000, 0.4097], [0.6093, 0.5000, 0.5418], [0.2362, 0.5000, 0.4127], [0.2362, 0.0000, 0.9127], [0.8291, 0.5000, 0.2973], [0.7225, 0.5000, 0.9097]],
  "density_g_cm3": 4.84,
  "n_ef_per_ev_atom": 0.935,
  "sg": "Cm, No. 8",
  "e_form_ev_per_atom": -0.299,
  "magmom_total_mub_per_fu": 0.0,
  "dft_energy_ev_per_atom": -8.160
}



{
  "formula": "YTi2C",
  "functional": "PBE",
  "state": "optimized geometry",
  "lattice": [[6.3113, 0.0000, 0.0000], [0.0000, 6.3113, 0.0000], [3.1556, 3.1556, 4.4609]],
  "species": ["Y", "C", "Y", "C", "Ti", "Ti", "Ti", "Ti"],
  "frac_coords": [[0.0000, 0.0000, 0.0000], [0.2500, 0.7500, 0.5000], [0.7500, 0.2500, 0.5000], [0.5000, 0.5000, 0.0000], [0.3750, 0.6249, 0.7500], [0.3749, 0.6250, 0.2500], [0.8750, 0.6251, 0.7500], [0.3751, 0.1250, 0.2500]],
  "density_g_cm3": 3.68,
  "n_ef_per_ev_atom": 0.703,
  "sg": "Fd-3m, No. 227",
  "e_form_ev_per_atom": 0.204,
  "magmom_total_mub_per_fu": 2.0,
  "dft_energy_ev_per_atom": -7.666
}



{
  "formula": "YTiC",
  "functional": "PBE",
  "state": "optimized geometry",
  "lattice": [[-3.4555, -4.1321, -1.6381], [2.3443, -2.3533, 0.9908], [-2.2062, 2.4532, 11.0463]],
  "species": ["Ti", "C", "C", "Y", "C", "Ti", "C", "Y", "Ti", "Ti", "Y", "Y"],
  "frac_coords": [[0.8864, 0.0000, 0.1510], [0.2191, 0.5000, 0.8000], [0.2191, 0.0000, 0.3000], [0.0535, 0.5000, 0.4111], [0.9365, 0.5000, 0.0591], [0.8864, 0.5000, 0.6510], [0.9365, 0.0000, 0.5591], [0.0535, 0.0000, 0.9111], [0.5642, 0.5000, 0.9384], [0.5642, 0.0000, 0.4384], [0.3816, 0.5000, 0.1951], [0.3816, 0.0000, 0.6951]],
  "density_g_cm3": 4.63,
  "n_ef_per_ev_atom": 0.933,
  "sg": "Cm, No. 8",
  "e_form_ev_per_atom": -0.326,
  "magmom_total_mub_per_fu": 0.0,
  "dft_energy_ev_per_atom": -8.187
}



{
  "formula": "YTiC",
  "functional": "PBE",
  "state": "optimized geometry",
  "lattice": [[3.3452, 0.0000, 0.0000], [-1.6726, 2.8970, 0.0000], [0.0000, 0.0000, 16.1415]],
  "species": ["Ti", "Ti", "C", "C", "Y", "Ti", "Y", "Y", "C"],
  "frac_coords": [[0.3333, 0.6667, 0.7410], [0.0000, 0.0000, 0.0743], [0.0000, 0.0000, 0.3534], [0.6667, 0.3333, 0.6868], [0.6667, 0.3333, 0.9186], [0.6667, 0.3333, 0.4076], [0.0000, 0.0000, 0.5853], [0.3333, 0.6667, 0.2520], [0.3333, 0.6667, 0.0201]],
  "density_g_cm3": 4.74,
  "n_ef_per_ev_atom": 1.107,
  "sg": "R3m, No. 160",
  "e_form_ev_per_atom": -0.338,
  "magmom_total_mub_per_fu": 0.0,
  "dft_energy_ev_per_atom": -8.199
}



{
  "formula": "YTiC2",
  "functional": "PBE",
  "state": "optimized geometry",
  "lattice": [[3.7442, -0.6637, -1.6160], [1.5683, -3.8217, -0.0786], [0.3735, -2.0063, -3.5926]],
  "species": ["Y", "C", "Ti", "C"],
  "frac_coords": [[0.5000, 0.5000, 0.5000], [0.7500, 0.7500, 0.7500], [0.0000, 0.0000, 0.0000], [0.2500, 0.2500, 0.2500]],
  "density_g_cm3": 5.35,
  "n_ef_per_ev_atom": 0.899,
  "sg": "Fm-3m, No. 225",
  "e_form_ev_per_atom": 0.626,
  "magmom_total_mub_per_fu": 0.0,
  "dft_energy_ev_per_atom": -7.575
}



{
  "formula": "YTi2C",
  "functional": "PBE",
  "state": "optimized geometry",
  "lattice": [[-0.1464, -3.1280, -0.2651], [2.4420, -1.5936, -1.1719], [3.9500, -2.3781, 7.2511]],
  "species": ["Ti", "Y", "Ti", "C"],
  "frac_coords": [[0.1227, 0.1227, 0.6318], [0.0000, 0.0000, 0.0000], [0.8773, 0.8773, 0.3682], [0.5000, 0.5000, 0.5000]],
  "density_g_cm3": 4.55,
  "n_ef_per_ev_atom": 1.076,
  "sg": "R-3m, No. 166",
  "e_form_ev_per_atom": -0.231,
  "magmom_total_mub_per_fu": 0.0,
  "dft_energy_ev_per_atom": -8.101
}



{
  "formula": "YTiC",
  "functional": "PBE",
  "state": "optimized geometry",
  "lattice": [[5.6211, 0.0000, 0.0001], [0.0000, 3.4879, 0.0000], [-3.7461, 0.0000, 10.9871]],
  "species": ["C", "Y", "Y", "C", "C", "Y", "Ti", "Ti", "Y", "C", "Ti", "Ti"],
  "frac_coords": [[0.3866, 0.5000, 0.9143], [0.0788, 0.5000, 0.2987], [0.6977, 0.5000, 0.5123], [0.1532, 0.5000, 0.6378], [0.1532, 0.0000, 0.1378], [0.0788, 0.0000, 0.7987], [0.2383, 0.0000, 0.5621], [0.2383, 0.5000, 0.0621], [0.6977, 0.0000, 0.0123], [0.3866, 0.0000, 0.4143], [0.5136, 0.5000, 0.7720], [0.5136, 0.0000, 0.2720]],
  "density_g_cm3": 4.59,
  "n_ef_per_ev_atom": 1.138,
  "sg": "Cm, No. 8",
  "e_form_ev_per_atom": -0.316,
  "magmom_total_mub_per_fu": 0.1,
  "dft_energy_ev_per_atom": -8.177
}